VASP calculation (PBE) on a geometry-optimized CdCu2Cl structure.

Summary:
The calculation puts the total DFT energy (no corrections) at -2.548 eV/atom. For the raw formation energy, the calculation gives 0.190 eV per atom. The energy above the lowest structure with this stoichiometry comes out at 246.1 meV per atom.

Cell lengths 6.9081, 6.9081, 6.0978 Å; angles 90.00, 90.00, 90.00 degrees
With the nearest neighbours (Å) after each atom.
Space group I-42d (No. 122)
Unique sites:
Cd 0.0000 0.0000 0.0000 [4 per cell]  4 Cu 2.70
Cu 0.2214 0.2500 0.6250 [8 per cell]  2 Cl 2.43, 2 Cd 2.70
Cl 0.0000 0.0000 0.5000 [4 per cell]  4 Cu 2.43